DFT (PBE) results for a geometry-optimized TcTeOF2 structure.

Cell and atoms, written as CIF:
```
data_TcTeOF2
_cell_length_a 4.761
_cell_length_b 4.761
_cell_length_c 4.080
_cell_angle_alpha 90.00
_cell_angle_beta 90.00
_cell_angle_gamma 90.00
_space_group_name_H-M_alt 'P 4/m m m'
_space_group_IT_number 123
_space_group_name_Hall '-P 4 2'
loop_
_atom_site_label
_atom_site_type_symbol
_atom_site_fract_x
_atom_site_fract_y
_atom_site_fract_z
Tc1 Tc 0.000 0.000 0.000
Te1 Te 0.500 0.500 0.500
O1 O 0.500 0.500 0.000
F1 F 0.000 0.500 0.500
```

Output
Its calculated density is 5.02 Mg/m³. The raw formation energy is -0.104 eV per atom. The calculation puts the polymorph energy (0 for the lowest one) at 605 meV/atom.



DFT (PBE) results for a geometry-optimized DyMg3Cd9 structure.

Cell and atoms, written as CIF:
```
data_DyMg3Cd9
_cell_length_a 6.015
_cell_length_b 13.948
_cell_length_c 7.557
_cell_angle_alpha 90.00
_cell_angle_beta 113.19
_cell_angle_gamma 90.00
_space_group_name_H-M_alt 'C 1 2/m 1'
_space_group_IT_number 12
_space_group_name_Hall '-C 2y'
loop_
_atom_site_label
_atom_site_type_symbol
_atom_site_fract_x
_atom_site_fract_y
_atom_site_fract_z
Dy1 Dy 0.000 0.000 0.000
Mg1 Mg 0.000 0.000 0.500
Mg2 Mg 0.250 0.250 0.000
Cd1 Cd 0.000 0.500 0.500
Cd2 Cd 0.114 0.392 0.213
Cd3 Cd 0.169 0.174 0.344
```

Output
Its calculated density is 7.11 Mg/m³. For the raw total energy, the calculation gives -19.33 eV/f.u.



DFT (PBE) results for a geometry-optimized YInI2 structure.

Cell and atoms, written as CIF:
```
data_YInI2
_cell_length_a 10.572
_cell_length_b 10.572
_cell_length_c 6.476
_cell_angle_alpha 90.00
_cell_angle_beta 90.00
_cell_angle_gamma 90.00
_space_group_name_H-M_alt 'I -4 2 d'
_space_group_IT_number 122
_space_group_name_Hall 'I -4 2bw'
loop_
_atom_site_label
_atom_site_type_symbol
_atom_site_fract_x
_atom_site_fract_y
_atom_site_fract_z
Y1 Y 0.000 0.000 0.000
In1 In 0.000 0.000 0.500
I1 I 0.119 0.750 0.125
```

Output
Its calculated density is 4.20 Mg/m³. The raw formation energy is -0.563 eV per atom. The calculation puts the polymorph energy (0 for the lowest one) at 0 meV/atom.



DFT (PBE) results for a geometry-optimized YPaTc structure.

Cell and atoms, written as CIF:
```
data_YPaTc
_cell_length_a 4.7724
_cell_length_b 4.7724
_cell_length_c 3.3532
_cell_angle_alpha 90.00
_cell_angle_beta 90.00
_cell_angle_gamma 120.00
_space_group_name_H-M_alt 'P 3 m 1'
_space_group_IT_number 156
_space_group_name_Hall 'P 3 -2"'
loop_
_atom_site_label
_atom_site_type_symbol
_atom_site_fract_x
_atom_site_fract_y
_atom_site_fract_z
Y1 Y 0.0000 0.0000 0.0000
Pa1 Pa 0.6667 0.3333 0.5902
Tc1 Tc 0.3333 0.6667 0.3705
```

Output
Its calculated density is 10.49 Mg/m³. The calculation puts the polymorph energy (0 for the lowest one) at 246 meV/atom.



DFT (PBE) results for a geometry-optimized Tb4PrNd3S8 structure.

Cell and atoms, written as CIF:
```
data_Tb4PrNd3S8
_cell_length_a 7.9557
_cell_length_b 7.9557
_cell_length_c 19.8802
_cell_angle_alpha 90.00
_cell_angle_beta 90.00
_cell_angle_gamma 120.00
_space_group_name_H-M_alt 'R -3 m'
_space_group_IT_number 166
_space_group_name_Hall '-R 3 2"'
loop_
_atom_site_label
_atom_site_type_symbol
_atom_site_fract_x
_atom_site_fract_y
_atom_site_fract_z
Tb1 Tb 0.0000 0.0000 0.0000
Tb2 Tb 0.0000 0.5000 0.0000
Pr1 Pr 0.0000 0.0000 0.5000
Nd1 Nd 0.0000 0.5000 0.5000
S1 S 0.0000 0.0000 0.2548
S2 S 0.0013 0.5006 0.7448
```

Output
Its calculated density is 6.70 Mg/m³. The raw formation energy is -2.017 eV per atom.



DFT (PBE) results for a geometry-optimized Pm2TlPt structure.

Cell and atoms, written as CIF:
```
data_Pm2TlPt
_cell_length_a 4.1311
_cell_length_b 4.1311
_cell_length_c 24.5603
_cell_angle_alpha 90.00
_cell_angle_beta 90.00
_cell_angle_gamma 120.00
_space_group_name_H-M_alt 'R 3 m'
_space_group_IT_number 160
_space_group_name_Hall 'R 3 -2"'
loop_
_atom_site_label
_atom_site_type_symbol
_atom_site_fract_x
_atom_site_fract_y
_atom_site_fract_z
Pm1 Pm 0.0000 0.0000 0.0000
Pm2 Pm 0.0000 0.0000 0.2010
Tl1 Tl 0.0000 0.0000 0.7668
Pt1 Pt 0.0000 0.0000 0.6014
```

Output
Its calculated density is 9.46 Mg/m³. The calculation puts the polymorph energy (0 for the lowest one) at 72 meV/atom.



DFT (PBE) results for a geometry-optimized Dy3Th structure.

Cell and atoms, written as CIF:
```
data_Dy3Th
_cell_length_a 5.056
_cell_length_b 5.056
_cell_length_c 9.969
_cell_angle_alpha 90.00
_cell_angle_beta 90.00
_cell_angle_gamma 90.00
_space_group_name_H-M_alt 'I 4/m m m'
_space_group_IT_number 139
_space_group_name_Hall '-I 4 2'
loop_
_atom_site_label
_atom_site_type_symbol
_atom_site_fract_x
_atom_site_fract_y
_atom_site_fract_z
Dy1 Dy 0.000 0.000 0.000
Dy2 Dy 0.000 0.500 0.250
Th1 Th 0.000 0.000 0.500
```

Output
Its calculated density is 9.38 Mg/m³. The calculation puts the polymorph energy (0 for the lowest one) at 14 meV/atom.



DFT (PBE) results for a geometry-optimized Bi2OsPt2 structure.

Cell and atoms, written as CIF:
```
data_Bi2OsPt2
_cell_length_a 3.619
_cell_length_b 3.619
_cell_length_c 16.586
_cell_angle_alpha 90.00
_cell_angle_beta 90.00
_cell_angle_gamma 90.00
_space_group_name_H-M_alt 'I 4/m m m'
_space_group_IT_number 139
_space_group_name_Hall '-I 4 2'
loop_
_atom_site_label
_atom_site_type_symbol
_atom_site_fract_x
_atom_site_fract_y
_atom_site_fract_z
Bi1 Bi 0.000 0.000 0.101
Os1 Os 0.000 0.000 0.500
Pt1 Pt 0.000 0.500 0.250
```

Output
Its calculated density is 15.26 Mg/m³. The calculation puts the polymorph energy (0 for the lowest one) at 100 meV/atom.